The following is a DFT calculation (GGA-PBE) of NdLuGeRh after structural relaxation.

Calculated values
DFT total energy   -5.98 eV per atom

a b c (Å): 7.058 7.058 7.058
angles (deg): 90.00 90.00 90.00
Space group F-43m (No. 216)
Symmetry-distinct sites (fractional):
Nd (0.000, 0.000, 0.000) x4
Lu (0.000, 0.000, 0.500) x4
Ge (0.250, 0.250, 0.250) x4
Rh (0.250, 0.250, 0.750) x4

***

The following is a DFT calculation (GGA-PBE) of CuSbPI2 after structural relaxation.

Calculated values
Relative energy among the computed polymorphs   0.0 meV/atom
Formation energy (no corrections)   0.80 eV per atom
DFT total energy   -2.55 eV per atom

a b c (Å): 5.397 5.397 5.405
angles (deg): 90.00 90.00 90.00
Space group P4/mmm (No. 123)
Symmetry-distinct sites (fractional):
Cu (0.000, 0.000, 0.000) x1
Sb (0.500, 0.500, 0.000) x1
P (0.500, 0.500, 0.500) x1
I (0.000, 0.500, 0.500) x2

***

The following is a DFT calculation (GGA-PBE) of Sm3HoSc6 after structural relaxation.

Calculated values
Relative energy among the computed polymorphs   242.0 meV/atom
DFT total energy   -5.27 eV per atom

a b c (Å): 9.3227 9.3227 11.2631
angles (deg): 90.00 90.00 120.00
Space group R3 (No. 146, hexagonal axes)
Symmetry-distinct sites (fractional):
Sm (0.0000, 0.0000, 0.0000) x3
Sm (0.0000, 0.0000, 0.2498) x3
Sm (0.0000, 0.0000, 0.4995) x3
Ho (0.0000, 0.0000, 0.7497) x3
Sc (0.0022, 0.3300, 0.4993) x9
Sc (0.0056, 0.6691, 0.6656) x9

***

The following is a DFT calculation (GGA-PBE) of Na2ClO2 after structural relaxation.

Calculated values
Formation energy (no corrections)   -1.19 eV per atom
DFT total energy   -4.07 eV per atom

a b c (Å): 7.147 3.893 6.615
angles (deg): 90.00 106.67 90.00
Space group C2/m (No. 12)
Symmetry-distinct sites (fractional):
Na (0.245, 0.000, 0.255) x4
Cl (0.000, 0.500, 0.000) x2
O (0.098, 0.000, 0.548) x4

***

The following is a DFT calculation (GGA-PBE) of GdErTmPa after structural relaxation.

Calculated values
DFT total energy   -7.82 eV per atom

a b c (Å): 7.822 7.822 7.822
angles (deg): 90.00 90.00 90.00
Space group F-43m (No. 216)
Symmetry-distinct sites (fractional):
Gd (0.000, 0.000, 0.000) x4
Er (0.000, 0.000, 0.500) x4
Tm (0.250, 0.250, 0.750) x4
Pa (0.250, 0.250, 0.250) x4

***

The following is a DFT calculation (GGA-PBE) of Li3Ac2Si2 after structural relaxation.

Calculated values
Formation energy (no corrections)   -0.31 eV per atom
DFT total energy   -3.86 eV per atom

a b c (Å): 10.875 4.779 6.700
angles (deg): 90.00 103.72 90.00
Space group C2/m (No. 12)
Symmetry-distinct sites (fractional):
Li (0.000, 0.000, 0.000) x2
Li (0.121, 0.000, 0.424) x4
Ac (0.145, 0.500, 0.767) x4
Si (0.154, 0.500, 0.257) x4